The following is a DFT calculation (SCAN) of Ca2Zn3Ga at its PBEsol-relaxed geometry.

M_tot: 0.00 μB/f.u.
Fermi-level density of states: 2.570 states/eV per cell
ΔH_f (0 K): -0.439 eV per atom
ρ: 4.76 g/cm3

abc: 4.4274 5.6558 5.6949
angles: 78.74 67.13 66.96
Last column: nearest neighbours and their distance in Å.
Atoms (fractional coordinates):
Ga: 0.1636 0.2771 0.3957  4 Zn 2.57-2.73
Zn: 0.8371 0.7176 0.6082  3 Zn 2.57-2.80, 1 Ga 2.60
Ca: 0.4527 0.2955 0.7992  9 Zn 3.04-3.24, 3 Ga 3.07-3.13
Ca: 0.5471 0.7038 0.2020  9 Zn 3.06-3.28, 3 Ga 3.20-3.26
Zn: 0.8355 0.1084 0.2206  2 Ga 2.57, 2 Zn 2.64-2.80
Zn: 0.1640 0.8977 0.7742  3 Zn 2.57-2.64, 1 Ga 2.73



The following is a DFT calculation (SCAN) of Ca2ZnGa at its PBEsol-relaxed geometry.

M_tot: 0.00 μB/f.u.
Fermi-level density of states: 2.174 states/eV per cell
ΔH_f (0 K): -0.392 eV per atom
ρ: 3.81 g/cm3

abc: 5.1020 5.1020 5.1020
angles: 60.00 60.00 60.00
Last column: nearest neighbours and their distance in Å.
Atoms (fractional coordinates):
Ca: 0.2500 0.2500 0.2500  4 Zn 3.12, 4 Ga 3.12
Ca: 0.7500 0.7500 0.7500  4 Ga 3.12, 4 Zn 3.12
Zn: 0.0000 0.0000 0.0000  8 Ca 3.12
Ga: 0.5000 0.5000 0.5000  8 Ca 3.12



The following is a DFT calculation (SCAN) of Ca2ZnGa3 at its PBEsol-relaxed geometry.

M_tot: 0.00 μB/f.u.
Fermi-level density of states: 1.908 states/eV per cell
ΔH_f (0 K): -0.563 eV per atom
ρ: 4.85 g/cm3

abc: 4.4310 5.6819 5.6892
angles: 79.08 67.08 67.05
Last column: nearest neighbours and their distance in Å.
Atoms (fractional coordinates):
Ca: 0.5434 0.7067 0.2065  9 Ga 3.04-3.28, 3 Zn 3.17-3.29
Ca: 0.4548 0.2963 0.7941  9 Ga 3.04-3.27, 3 Zn 3.05-3.14
Ga: 0.8411 0.7147 0.6032  1 Zn 2.60, 3 Ga 2.60-2.81
Ga: 0.1601 0.9003 0.7796  3 Ga 2.60-2.61, 1 Zn 2.74
Zn: 0.1660 0.2734 0.3946  4 Ga 2.56-2.74
Ga: 0.8347 0.1086 0.2220  2 Zn 2.56, 2 Ga 2.61-2.81



The following is a DFT calculation (SCAN) of Ca3ZrGa at its PBEsol-relaxed geometry.

M_tot: 0.64 μB/f.u.
Fermi-level density of states: 4.312 states/eV per cell
ΔH_f (0 K): 1.007 eV per atom
ρ: 2.74 g/cm3

abc: 5.5457 5.5457 5.5457
angles: 90.00 90.00 90.00
Last column: nearest neighbours and their distance in Å.
Atoms (fractional coordinates):
Ca: 0.0000 0.5000 0.0000  2 Zr 2.77
Ca: 0.0000 0.0000 0.5000  2 Zr 2.77
Zr: 0.0000 0.0000 0.0000  6 Ca 2.77
Ga: 0.5000 0.5000 0.5000  12 Ca 3.92
Ca: 0.5000 0.0000 0.0000  2 Zr 2.77



The following is a DFT calculation (SCAN) of CaGdS2 at its PBEsol-relaxed geometry.

Formation energy without anion corrections: -2.29 eV/atom
M_tot: 7.17 μB/f.u.
Fermi-level density of states: 1.123 states/eV per cell
ρ: 5.06 g/cm3

abc: 3.9264 3.9264 5.5606
angles: 90.00 90.00 90.00
Last column: nearest neighbours and their distance in Å.
Atoms (fractional coordinates):
Gd: 0.5000 0.5000 0.5000  6 S 2.78
Ca: 0.0000 0.0000 0.0000  6 S 2.78
S: 0.0000 0.0000 0.5000  4 Gd 2.78, 2 Ca 2.78
S: 0.5000 0.5000 0.0000  4 Ca 2.78, 2 Gd 2.78



The following is a DFT calculation (SCAN) of CaGe3 at its PBEsol-relaxed geometry.

M_tot: 0.00 μB/f.u.
Fermi-level density of states: 5.249 states/eV per cell
ΔH_f (0 K): -0.294 eV per atom
ρ: 5.36 g/cm3

abc: 7.5601 7.7396 7.5601
angles: 119.24 90.00 119.24
Last column: nearest neighbours and their distance in Å.
Atoms (fractional coordinates):
Ge: 0.5659 0.7643 0.5659  5 Ge 2.64-2.78
Ge: 0.4341 0.2357 0.4341  5 Ge 2.64-2.78
Ge: 0.8017 0.2357 0.4341  5 Ge 2.64-2.78
Ge: 0.0000 0.0000 0.6697  5 Ge 2.57-2.73
Ge: 0.1983 0.7643 0.1983  5 Ge 2.64-2.78
Ge: 0.1983 0.7643 0.5659  5 Ge 2.64-2.78
Ca: 0.2500 0.5000 0.7500  12 Ge 3.08-3.14
Ge: 0.3303 0.0000 0.0000  5 Ge 2.57-2.73
Ge: 0.8017 0.2357 0.8017  5 Ge 2.64-2.78
Ge: 0.6697 0.0000 0.0000  5 Ge 2.57-2.73
Ca: 0.1663 0.3326 0.1663  12 Ge 3.11-3.42
Ge: 0.4341 0.2357 0.8017  5 Ge 2.64-2.78
Ca: 0.7500 0.5000 0.2500  12 Ge 3.08-3.14
Ge: 0.0000 0.0000 0.3303  5 Ge 2.57-2.73
Ge: 0.5659 0.7643 0.1983  5 Ge 2.64-2.78
Ca: 0.8337 0.6674 0.8337  12 Ge 3.11-3.42



The following is a DFT calculation (SCAN) of Ca7Ge6 at its PBEsol-relaxed geometry.

M_tot: 0.00 μB/f.u.
Fermi-level density of states: 35.665 states/eV per cell
ΔH_f (0 K): -0.688 eV per atom
ρ: 3.68 g/cm3

abc: 7.3292 7.9865 22.0850
angles: 90.00 90.00 90.00
Last column: nearest neighbours and their distance in Å.
Atoms (fractional coordinates):
Ge: 0.8090 0.3958 0.7500  1 Ge 2.50
Ge: 0.5030 0.4574 0.4451  2 Ge 2.52-2.55
Ca: 0.0156 0.1790 0.6628  6 Ge 2.95-3.13
Ca: 0.9844 0.8210 0.1628  6 Ge 2.95-3.13
Ca: 0.3520 0.8185 0.8565  7 Ge 3.11-3.44
Ge: 0.6910 0.8958 0.2500  1 Ge 2.50
Ge: 0.9250 0.1243 0.2500  1 Ge 2.50
Ge: 0.6829 0.0267 0.5980  1 Ge 2.55
Ca: 0.1480 0.3185 0.3565  7 Ge 3.11-3.44
Ge: 0.5030 0.4574 0.0549  2 Ge 2.52-2.55
Ge: 0.8171 0.5267 0.0980  1 Ge 2.55
Ca: 0.8348 0.3225 0.9809  7 Ge 3.03-3.32
Ca: 0.4844 0.6790 0.3372  6 Ge 2.95-3.13
Ca: 0.6480 0.1815 0.1435  7 Ge 3.11-3.44
Ge: 0.4250 0.3757 0.2500  1 Ge 2.50
Ge: 0.0030 0.0426 0.4451  2 Ge 2.52-2.55
Ca: 0.8520 0.6815 0.6435  7 Ge 3.11-3.44
Ca: 0.3348 0.1775 0.5191  7 Ge 3.03-3.32
Ge: 0.8171 0.5267 0.4020  1 Ge 2.55
Ca: 0.8520 0.6815 0.8565  7 Ge 3.11-3.44
Ca: 0.1652 0.6775 0.0191  7 Ge 3.03-3.32
Ca: 0.3520 0.8185 0.6435  7 Ge 3.11-3.44
Ca: 0.5156 0.3210 0.8372  6 Ge 2.95-3.13
Ge: 0.3171 0.9733 0.0980  1 Ge 2.55
Ge: 0.4970 0.5426 0.9451  2 Ge 2.52-2.55
Ge: 0.9970 0.9574 0.9451  2 Ge 2.52-2.55
Ca: 0.6652 0.8225 0.4809  7 Ge 3.03-3.32
Ge: 0.9970 0.9574 0.5549  2 Ge 2.52-2.55
Ge: 0.3090 0.1042 0.7500  1 Ge 2.50
Ca: 0.8150 0.4833 0.2500  3 Ge 2.92-2.99
Ca: 0.6850 0.9833 0.7500  3 Ge 2.92-2.99
Ca: 0.1850 0.5167 0.7500  3 Ge 2.92-2.99
Ca: 0.4844 0.6790 0.1628  6 Ge 2.95-3.13
Ca: 0.8348 0.3225 0.5191  7 Ge 3.03-3.32
Ge: 0.1829 0.4733 0.9020  1 Ge 2.55
Ge: 0.5750 0.6243 0.7500  1 Ge 2.50
Ca: 0.9844 0.8210 0.3372  6 Ge 2.95-3.13
Ge: 0.0750 0.8757 0.7500  1 Ge 2.50
Ca: 0.0156 0.1790 0.8372  6 Ge 2.95-3.13
Ca: 0.6652 0.8225 0.0191  7 Ge 3.03-3.32
Ge: 0.6829 0.0267 0.9020  1 Ge 2.55
Ca: 0.5156 0.3210 0.6628  6 Ge 2.95-3.13
Ge: 0.4970 0.5426 0.5549  2 Ge 2.52-2.55
Ca: 0.1652 0.6775 0.4809  7 Ge 3.03-3.32
Ca: 0.1480 0.3185 0.1435  7 Ge 3.11-3.44
Ge: 0.1910 0.6042 0.2500  1 Ge 2.50
Ca: 0.3150 0.0167 0.2500  3 Ge 2.92-2.99
Ge: 0.1829 0.4733 0.5980  1 Ge 2.55
Ge: 0.3171 0.9733 0.4020  1 Ge 2.55
Ca: 0.6480 0.1815 0.3565  7 Ge 3.11-3.44
Ge: 0.0030 0.0426 0.0549  2 Ge 2.52-2.55
Ca: 0.3348 0.1775 0.9809  7 Ge 3.03-3.32



The following is a DFT calculation (SCAN) of CaNiGeH at its PBEsol-relaxed geometry.

M_tot: 0.00 μB/f.u.
VASP energy: -50.72 eV/f.u.
Fermi-level density of states: 3.153 states/eV per cell
ρ: 4.90 g/cm3

abc: 3.9439 3.9439 7.5059
angles: 90.00 90.00 90.00
Last column: nearest neighbours and their distance in Å.
Atoms (fractional coordinates):
H: 0.0000 0.0000 0.0000  4 Ca 2.28
Ni: 0.0000 0.0000 0.5000  4 Ge 2.32
Ni: 0.5000 0.5000 0.5000  4 Ge 2.32
Ge: 0.5000 0.0000 0.6637  4 Ni 2.32
Ca: 0.0000 0.5000 0.8488  4 H 2.28
Ge: 0.0000 0.5000 0.3363  4 Ni 2.32
H: 0.5000 0.5000 0.0000  4 Ca 2.28
Ca: 0.5000 0.0000 0.1512  4 H 2.28



The following is a DFT calculation (SCAN) of Ca2GeHOs at its PBEsol-relaxed geometry.

M_tot: 0.21 μB/f.u.
VASP energy: -114.26 eV/f.u.
Fermi-level density of states: 1.765 states/eV per cell
ρ: 6.80 g/cm3

abc: 3.6850 4.7738 4.7738
angles: 90.00 90.00 90.00
Last column: nearest neighbours and their distance in Å.
Atoms (fractional coordinates):
Os: 0.5000 0.0000 0.0000  2 H 1.84
Ge: 0.5000 0.5000 0.5000  8 Ca 3.02, 4 Os 3.38
Ca: 0.0000 0.0000 0.5000  2 H 2.39
H: 0.0000 0.0000 0.0000  2 Os 1.84
Ca: 0.0000 0.5000 0.0000  2 H 2.39



The following is a DFT calculation (SCAN) of CaHfGe2 at its PBEsol-relaxed geometry.

M_tot: 0.00 μB/f.u.
Fermi-level density of states: 3.917 states/eV per cell
ΔH_f (0 K): -0.238 eV per atom
ρ: 7.53 g/cm3

abc: 4.8409 4.8409 4.8409
angles: 60.00 60.00 60.00
Last column: nearest neighbours and their distance in Å.
Atoms (fractional coordinates):
Ca: 0.0000 0.0000 0.0000  8 Ge 2.96
Ge: 0.2500 0.2500 0.2500  4 Ca 2.96, 4 Hf 2.96
Ge: 0.7500 0.7500 0.7500  4 Hf 2.96, 4 Ca 2.96
Hf: 0.5000 0.5000 0.5000  8 Ge 2.96



The following is a DFT calculation (SCAN) of CaHf2Ge2 at its PBEsol-relaxed geometry.

M_tot: 0.00 μB/f.u.
E above lowest polymorph: 0.000 eV/atom
Fermi-level density of states: 3.814 states/eV per cell
ΔH_f (0 K): -0.489 eV per atom
ρ: 8.15 g/cm3

abc: 4.3200 4.3200 6.6604
angles: 108.92 108.92 90.00
Last column: nearest neighbours and their distance in Å.
Atoms (fractional coordinates):
Ge: 0.6102 0.6102 0.2204  1 Ge 2.61, 4 Hf 2.72
Ca: 0.0000 0.0000 0.0000  8 Ge 3.32, 8 Hf 3.66
Hf: 0.2500 0.7500 0.5000  4 Ge 2.72
Hf: 0.7500 0.2500 0.5000  4 Ge 2.72
Ge: 0.3898 0.3898 0.7796  1 Ge 2.61, 4 Hf 2.72



The following is a DFT calculation (SCAN) of CaHf2Ge2 at its PBEsol-relaxed geometry.

M_tot: 0.00 μB/f.u.
E above lowest polymorph: 0.289 eV/atom
Fermi-level density of states: 2.481 states/eV per cell
ΔH_f (0 K): -0.199 eV per atom
ρ: 7.50 g/cm3

abc: 5.0303 5.0303 5.9313
angles: 115.09 115.09 90.00
Last column: nearest neighbours and their distance in Å.
Atoms (fractional coordinates):
Hf: 0.3308 0.3308 0.6617  4 Ge 2.63
Ca: 0.0000 0.0000 0.0000  2 Hf 3.14, 8 Ge 3.46
Hf: 0.6692 0.6692 0.3383  4 Ge 2.63
Ge: 0.7500 0.2500 0.5000  4 Hf 2.63
Ge: 0.2500 0.7500 0.5000  4 Hf 2.63